(1)
VASP calculation (PBE) on a geometry-optimized La2ZrAgS structure.

Lattice parameters (Å, degrees): 5.7218 4.9232 5.7218 90.00 90.00 90.00
Last column: nearest neighbours and their distance in Å.
Fractional positions:
La1 0.0000 0.0000 0.5000  2 Zr 2.86
La2 0.5000 0.0000 0.0000  2 Zr 2.86
Ag1 0.0000 0.5000 0.0000  2 Zr 2.46
S1 0.5000 0.5000 0.5000  8 La 3.77, 4 Ag 4.05
Zr1 0.0000 0.0000 0.0000  2 Ag 2.46

Results
As for the symmetry: No. 123. The uncorrected formation energy is 0.392 eV per atom.

(2)
VASP calculation (PBE) on a geometry-optimized TcAsRh structure.

Lattice parameters (Å, degrees): 4.0926 4.0926 4.0926 60.00 60.00 60.00
Last column: nearest neighbours and their distance in Å.
Fractional positions:
As1 0.7500 0.7500 0.7500  4 Tc 2.51, 4 Rh 2.51
Tc1 0.5000 0.5000 0.5000  4 As 2.51
Rh1 0.0000 0.0000 0.0000  4 As 2.51

Results
As for the symmetry: No. 216. For the energy above the most stable polymorph in this dataset, the calculation gives 0.00 eV per formula unit. The formation enthalpy at 0 K comes out at -0.051 eV/atom.

(3)
VASP calculation (PBE) on a geometry-optimized NaYRuPb2 structure.

Lattice parameters (Å, degrees): 5.3726 5.1995 5.3726 90.00 90.00 90.00
Last column: nearest neighbours and their distance in Å.
Fractional positions:
Na1 0.5000 0.5000 0.5000  8 Pb 3.74, 4 Y 3.80
Pb1 0.5000 0.0000 0.0000  2 Ru 2.69
Pb2 0.0000 0.0000 0.5000  2 Ru 2.69
Ru1 0.0000 0.0000 0.0000  2 Y 2.60, 4 Pb 2.69
Y1 0.0000 0.5000 0.0000  2 Ru 2.60

Results
As for the symmetry: No. 123. The formation enthalpy at 0 K comes out at 0.027 eV/atom.

(4)
VASP calculation (PBE) on a geometry-optimized BaNa2Hg structure.

Lattice parameters (Å, degrees): 3.8923 3.8923 12.4180 80.98 80.98 60.00
Last column: nearest neighbours and their distance in Å.
Fractional positions:
Ba1 0.0000 0.0000 0.0000  2 Na 3.75, 6 Ba 3.89
Na1 0.8976 0.8976 0.3071  3 Hg 3.26
Na2 0.1024 0.1024 0.6929  3 Hg 3.26
Hg1 0.5000 0.5000 0.5000  6 Na 3.26

Results
As for the symmetry: No. 166. The formation enthalpy at 0 K comes out at 0.054 eV/atom.

(5)
VASP calculation (PBE) on a geometry-optimized BeReIr3 structure.

Lattice parameters (Å, degrees): 4.7244 4.7244 4.7244 90.00 90.00 90.00
Last column: nearest neighbours and their distance in Å.
Fractional positions:
Ir1 0.0000 0.0000 0.5000  2 Re 2.36
Ir2 0.0000 0.5000 0.0000  2 Re 2.36
Ir3 0.5000 0.0000 0.0000  2 Re 2.36
Re1 0.0000 0.0000 0.0000  6 Ir 2.36
Be1 0.5000 0.5000 0.5000  12 Ir 3.34

Results
As for the symmetry: No. 221. For the energy above the most stable polymorph in this dataset, the calculation gives 7.18 eV per formula unit. The formation enthalpy at 0 K comes out at 1.971 eV/atom.

(6)
VASP calculation (PBE) on a geometry-optimized Nd2Y6Er3Mg structure.

Lattice parameters (Å, degrees): 6.1483 6.1483 11.7744 95.01 95.01 120.02
Last column: nearest neighbours and their distance in Å.
Fractional positions:
Mg1 0.0000 0.0000 0.0000  6 Nd 3.55, 6 Y 3.56-3.57
Er1 0.8347 0.1653 0.5000  6 Y 3.51-3.54, 6 Er 3.52-3.56
Er2 0.5000 0.5000 0.5000  6 Y 3.52-3.53, 6 Er 3.54-3.56
Er3 0.1653 0.8347 0.5000  6 Y 3.51-3.54, 6 Er 3.52-3.56
Nd1 0.6669 0.3331 0.0000  3 Nd 3.55, 3 Mg 3.55, 6 Y 3.57-3.58
Nd2 0.3331 0.6669 0.0000  3 Nd 3.55, 3 Mg 3.55, 6 Y 3.57-3.58
Y1 0.9161 0.5850 0.7478  3 Er 3.52-3.54, 6 Y 3.53-3.56, 1 Mg 3.56, 2 Nd 3.57-3.58
Y2 0.5850 0.9161 0.7478  3 Er 3.52-3.54, 6 Y 3.53-3.56, 1 Mg 3.56, 2 Nd 3.57-3.58
Y3 0.2474 0.2474 0.7473  3 Er 3.51-3.53, 6 Y 3.53-3.56, 1 Mg 3.57, 2 Nd 3.58
Y4 0.0839 0.4150 0.2522  3 Er 3.52-3.54, 6 Y 3.53-3.56, 1 Mg 3.56, 2 Nd 3.57-3.58
Y5 0.4150 0.0839 0.2522  3 Er 3.52-3.54, 6 Y 3.53-3.56, 1 Mg 3.56, 2 Nd 3.57-3.58
Y6 0.7526 0.7526 0.2527  3 Er 3.51-3.53, 6 Y 3.53-3.56, 1 Mg 3.57, 2 Nd 3.58

Results
As for the symmetry: No. 12. The formation enthalpy at 0 K comes out at 0.024 eV/atom.

no.,V (Å³/f.u.),ρ (g/cm³)
1,161,5.24
2,48,9.45
3,150,6.94
4,160,3.98
5,105,12.16
6,379,5.90